[1]
Here is a geometry-optimized NbAs2PtO structure from Alexandria via LeMat-Bulk. Energies are from PBE-GGA.

a = 4.4428 Å, b = 4.4428 Å, c = 4.0470 Å
α = 90.00°, β = 90.00°, γ = 90.00°
Fractional coordinates of all 5 atoms:
Nb1 0.0000 0.0000 0.0000
As1 0.0000 0.5000 0.5000
As2 0.5000 0.0000 0.5000
Pt1 0.5000 0.5000 0.0000
O1 0.5000 0.5000 0.5000

Its formation energy without anion corrections is 21.6 kJ/mol of atoms.

---

[2]
Here is a geometry-optimized NbGaNi2 structure from Alexandria via LeMat-Bulk. Energies are from PBE-GGA.

a = 2.8115 Å, b = 2.8115 Å, c = 6.7698 Å
α = 90.00°, β = 90.00°, γ = 90.00°
Fractional coordinates of all 4 atoms:
Nb1 0.0000 0.0000 0.0000
Ga1 0.0000 0.0000 0.5000
Ni1 0.5000 0.5000 0.2778
Ni2 0.5000 0.5000 0.7222

Its formation energy is -0.31 eV/atom.

---

[3]
Here is a geometry-optimized La2YHo3Er6 structure from Alexandria via LeMat-Bulk. Energies are from PBE-GGA.

a = 6.1653 Å, b = 6.1653 Å, c = 11.7618 Å
α = 95.00°, β = 95.00°, γ = 119.97°
Fractional coordinates of all 12 atoms:
La1 0.1665 0.8335 0.0000
La2 0.8335 0.1665 0.0000
Y1 0.5000 0.5000 0.0000
Ho1 0.0000 0.0000 0.5000
Ho2 0.3336 0.6664 0.5000
Ho3 0.6664 0.3336 0.5000
Er1 0.0816 0.4143 0.7450
Er2 0.2532 0.2532 0.2552
Er3 0.4143 0.0816 0.7450
Er4 0.5857 0.9184 0.2550
Er5 0.7468 0.7468 0.7448
Er6 0.9184 0.5857 0.2550

Its formation energy is 0.03 eV/atom.

---

[4]
Here is a geometry-optimized K3U2CuSe6 structure from Alexandria via LeMat-Bulk. Energies are from PBE-GGA.

a = 7.1949 Å, b = 7.1949 Å, c = 8.0290 Å
α = 98.56°, β = 98.56°, γ = 119.98°
Fractional coordinates of all 12 atoms:
K1 0.0000 0.0000 0.0000
K2 0.3359 0.6641 0.0000
K3 0.6641 0.3359 0.0000
U1 0.1669 0.8331 0.5000
U2 0.8331 0.1669 0.5000
Cu1 0.5000 0.5000 0.5000
Se1 0.0996 0.4331 0.2992
Se2 0.2334 0.2334 0.6998
Se3 0.4331 0.0996 0.2992
Se4 0.5669 0.9004 0.7008
Se5 0.7666 0.7666 0.3002
Se6 0.9004 0.5669 0.7008

Its formation energy without anion corrections is -102.5 kJ/mol of atoms.

---

[5]
Here is a geometry-optimized Zr2ScFe structure from Alexandria via LeMat-Bulk. Energies are from PBE-GGA.

a = 5.4083 Å, b = 5.4083 Å, c = 5.4083 Å
α = 134.17°, β = 134.17°, γ = 66.82°
Fractional coordinates of all 4 atoms:
Zr1 0.0000 0.0000 0.0000
Zr2 0.7500 0.2500 0.5000
Sc1 0.5000 0.5000 0.0000
Fe1 0.2500 0.7500 0.5000

Its formation energy is 0.19 eV/atom.

---

[6]
Here is a geometry-optimized MnZn2In structure from Alexandria via LeMat-Bulk. Energies are from PBE-GGA.

a = 2.9865 Å, b = 4.5420 Å, c = 5.0657 Å
α = 90.00°, β = 92.00°, γ = 90.00°
Fractional coordinates of all 4 atoms:
Mn1 0.0000 0.0000 0.0000
Zn1 0.2934 0.5000 0.2146
Zn2 0.7066 0.5000 0.7854
In1 0.5000 0.0000 0.5000

Its formation energy is 0.18 eV/atom.

---

[7]
Here is a geometry-optimized Ti2HgH structure from Alexandria via LeMat-Bulk. Energies are from PBE-GGA.

a = 3.0878 Å, b = 3.0878 Å, c = 7.1758 Å
α = 102.52°, β = 102.52°, γ = 59.95°
Fractional coordinates of all 4 atoms:
Ti1 0.0000 0.0000 0.0000
Ti2 0.2280 0.2280 0.6818
Hg1 0.7806 0.7806 0.3398
H1 0.6140 0.6140 0.8408

As for the electronic total energy: -4.9854 eV per atom.

---

[8]
Here is a geometry-optimized Al2TlAsSe structure from Alexandria via LeMat-Bulk. Energies are from PBE-GGA.

a = 4.9561 Å, b = 4.9561 Å, c = 5.7428 Å
α = 90.00°, β = 90.00°, γ = 90.00°
Fractional coordinates of all 5 atoms:
Al1 0.0000 0.5000 0.0000
Al2 0.5000 0.0000 0.0000
Tl1 0.0000 0.0000 0.5000
As1 0.0000 0.0000 0.0000
Se1 0.5000 0.5000 0.5000

Its formation energy without anion corrections is 34.8 kJ/mol of atoms.